Entry 1:
DFT (PBE) results for an optimized crystal structure of MgW2Au.

Its spin magnetization is 0.00 μB per atom. As for the formation energy: 419 meV per atom. The uncorrected energy is -0.26737 Ha/atom.

```
data_MgW2Au
_chemical_formula_sum 'Mg2 W4 Au2'
_symmetry_space_group_name_H-M 'I -4 m 2'
_symmetry_Int_Tables_number 119
_symmetry_space_group_name_Hall 'I -4 -2'
_cell_length_a 4.222
_cell_length_b 4.222
_cell_length_c 7.507
_cell_angle_alpha 90.00
_cell_angle_beta 90.00
_cell_angle_gamma 90.00
loop_
_atom_site_label
_atom_site_type_symbol
_atom_site_fract_x
_atom_site_fract_y
_atom_site_fract_z
_atom_site_occupancy
Mg1 Mg 0.000 0.000 0.000 1
W1 W 0.000 0.000 0.500 1
W2 W 0.000 0.500 0.750 1
Au1 Au 0.000 0.500 0.250 1
```

=====

Entry 2:
DFT (PBE) results for an optimized crystal structure of Mg2WAu.

Its spin magnetization is 0.00 μB per atom. The value obtained for the energy above the most stable polymorph in this dataset is 221 meV/atom. As for the formation energy: 241 meV per atom. The uncorrected energy is -0.16956 Ha/atom.

```
data_Mg2WAu
_chemical_formula_sum 'Mg2 W1 Au1'
_symmetry_space_group_name_H-M 'P m m 2'
_symmetry_Int_Tables_number 25
_cell_length_a 2.768
_cell_length_b 4.860
_cell_length_c 5.287
_cell_angle_alpha 90.00
_cell_angle_beta 90.00
_cell_angle_gamma 90.00
loop_
_symmetry_equiv_pos_as_xyz
'x,y,z'
'-x,-y,z'
'-x,y,z'
'x,-y,z'
loop_
_atom_site_label
_atom_site_type_symbol
_atom_site_fract_x
_atom_site_fract_y
_atom_site_fract_z
_atom_site_occupancy
Mg1 Mg 0.000 0.000 0.000 1
Mg2 Mg 0.000 0.500 0.318 1
W1 W 0.500 0.500 0.813 1
Au1 Au 0.500 0.000 0.520 1
```